! LiMn5 | Alexandria via LeMat-Bulk | SCAN | PBEsol geometry; values from VASP
! - V (A^3/atom) = 11.2
! - space-group type = F-43m (216)
! - total energy (eV for the cell shown) = -92.191
! - theoretical density (g cm⁻³) = 6.97
&SYSTEM
  ibrav = 0, nat = 6, ntyp = 2
/
ATOMIC_SPECIES
Mn 54.94 Mn.upf
Li 6.94 Li.upf
CELL_PARAMETERS angstrom
-1.5633 -3.6164 -2.2999
1.9749 -1.2369 -3.9220
2.4805 -3.8236 -0.1983
ATOMIC_POSITIONS angstrom
Mn 0.7230 -2.1692 -1.6050
Mn 0.5625 -3.5067 -3.9173
Mn 1.8095 -5.4291 -4.0170
Li 0.0000 0.0000 0.0000
Mn 0.8166 -4.8072 -2.0453
Mn 2.5955 -3.6109 -2.8607


! LiMn | Alexandria via LeMat-Bulk | SCAN | PBEsol geometry; values from VASP
! - V (A^3/atom) = 13.1
! - space-group type = Imma (74)
! - total energy (eV for the cell shown) = -39.999
! - theoretical density (g cm⁻³) = 3.91
&SYSTEM
  ibrav = 0, nat = 4, ntyp = 2
/
ATOMIC_SPECIES
Li 6.94 Li.upf
Mn 54.94 Mn.upf
CELL_PARAMETERS angstrom
-1.7183 -0.5003 -1.8576
-3.1677 -0.9631 3.1895
1.1778 4.9797 -0.6398
ATOMIC_POSITIONS angstrom
Li -1.0146 3.1717 -1.7065
Mn -1.7152 2.8594 0.8165
Li -2.6935 0.3446 2.3987
Mn -1.9929 0.6569 -0.1243


The lowest total energy belongs to which entry?
LiMn5